No. 1
Be3WI | PBE | optimized geometry

a b c (Å): 4.5207 4.5207 4.5207
angles (deg): 90.00 90.00 90.00
Last column: nearest neighbours and their distance in Å.
Sites, in units of the cell vectors:
Be  0.0000  0.0000  0.5000  2 W 2.26
Be  0.0000  0.5000  0.0000  2 W 2.26
Be  0.5000  0.0000  0.0000  2 W 2.26
W  0.0000  0.0000  0.0000  6 Be 2.26
I  0.5000  0.5000  0.5000  12 Be 3.20

## Properties
E above lowest polymorph, eV/f.u.: 0.000
Energy, Ry/atom: -0.2588
D(E_F), states/eV/f.u.: 4.1
E_form (uncorrected), eV/atom: 1.61


No. 2
ZrHg5 | PBE | optimized geometry

a b c (Å): 5.2011 8.6641 8.6641
angles (deg): 21.40 90.00 90.00
Last column: nearest neighbours and their distance in Å.
Sites, in units of the cell vectors:
Zr  0.0000  0.0000  0.0000  10 Hg 3.13-3.19, 2 Zr 3.22
Hg  0.0000  0.3406  0.3406  2 Zr 3.16, 10 Hg 3.16-3.50
Hg  0.0000  0.6580  0.6580  2 Zr 3.13, 10 Hg 3.19-3.50
Hg  0.5000  0.1055  0.1055  10 Hg 3.16-3.26, 2 Zr 3.16
Hg  0.5000  0.4461  0.4461  8 Hg 3.16-3.37, 4 Zr 3.19
Hg  0.5000  0.7721  0.7721  12 Hg 3.22-3.37

## Properties
Energy, Ry/atom: -0.1197
D(E_F), states/eV/f.u.: 4.1
Energy of formation from the pure elements, eV per atom: 0.048


No. 3
K2TcMo | PBE | optimized geometry

a b c (Å): 3.2916 3.2651 10.9235
angles (deg): 90.00 91.27 90.00
Last column: nearest neighbours and their distance in Å.
Sites, in units of the cell vectors:
K  0.0000  0.0000  0.0000  4 K 3.27-3.29, 4 Mo 3.65
K  0.4540  0.5000  0.3987  4 K 3.27-3.29, 4 Tc 3.53
Tc  0.9717  0.0000  0.6426  4 Mo 2.55-2.56
Mo  0.4806  0.5000  0.7415  4 Tc 2.55-2.56

## Properties
E above lowest polymorph, eV/f.u.: 0.000
Energy, Ry/atom: -0.3723
D(E_F), states/eV/f.u.: 5.3
Energy of formation from the pure elements, eV per atom: 0.782


| no. | calculated volume (Å³/f.u.) |
| --- | --- |
| 1 | 92.39 |
| 2 | 142.45 |
| 3 | 117.37 |